The following is a DFT calculation (GGA-PBE) of a relaxed structure of YNbAlCu.

Output
- Electronic total energy: -5.59 eV per atom
- Distance to the lowest polymorph of the same formula: 157 meV/atom

```
data_YNbAlCu
_symmetry_space_group_name_H-M 'F -4 3 m'
_symmetry_Int_Tables_number 216
_symmetry_space_group_name_Hall 'F -4 2 3'
_cell_length_a 6.779
_cell_length_b 6.779
_cell_length_c 6.779
_cell_angle_alpha 90.00
_cell_angle_beta 90.00
_cell_angle_gamma 90.00
loop_
_atom_site_label
_atom_site_type_symbol
_atom_site_fract_x
_atom_site_fract_y
_atom_site_fract_z
Y1 Y 0.000 0.000 0.000
Nb1 Nb 0.250 0.250 0.750
Al1 Al 0.250 0.250 0.250
Cu1 Cu 0.000 0.000 0.500
```